Entry one
This record from the Alexandria database describes CaMgSc2Ru after structural relaxation. The functional is PBE.

Unit cell a=5.0005 b=5.0005 c=5.5378 alpha=90.00 beta=90.00 gamma=90.00
Atoms (fractional coordinates):
Sc 0.5000 0.0000 0.0000
Ru 0.0000 0.0000 0.0000
Mg 0.5000 0.5000 0.5000
Sc 0.0000 0.5000 0.0000
Ca 0.0000 0.0000 0.5000

## Properties
* DOS(E_F): 4.48 states/eV per cell
* size of the total moment: 0.00 μB/cell

=====

Entry two
This record from the Alexandria database describes CaMgSc2Ru after structural relaxation. The functional is PBE.

Unit cell a=4.9660 b=4.9660 c=5.2931 alpha=90.00 beta=90.00 gamma=90.00
Atoms (fractional coordinates):
Sc 0.0000 0.5000 0.0000
Mg 0.0000 0.0000 0.5000
Sc 0.5000 0.0000 0.0000
Ca 0.5000 0.5000 0.5000
Ru 0.0000 0.0000 0.0000

## Properties
* DOS(E_F): 3.79 states/eV per cell
* size of the total moment: 0.00 μB/cell

=====

It comes down to entry two, which is 144 meV per atom more stable than the next structure.

=====

Entry one
This record from the Alexandria database describes CaY2MgRu after structural relaxation. The functional is PBE.

Unit cell a=5.3094 b=5.3094 c=5.3393 alpha=90.00 beta=90.00 gamma=90.00
Atoms (fractional coordinates):
Ru 0.0000 0.0000 0.0000
Ca 0.5000 0.5000 0.5000
Y 0.5000 0.0000 0.0000
Y 0.0000 0.5000 0.0000
Mg 0.0000 0.0000 0.5000

## Properties
* DOS(E_F): 4.40 states/eV per cell
* size of the total moment: 0.00 μB/cell

=====

Entry two
This record from the Alexandria database describes CaY2MgRu after structural relaxation. The functional is PBE.

Unit cell a=5.3306 b=5.3306 c=5.5648 alpha=90.00 beta=90.00 gamma=90.00
Atoms (fractional coordinates):
Mg 0.5000 0.5000 0.5000
Y 0.0000 0.5000 0.0000
Y 0.5000 0.0000 0.0000
Ru 0.0000 0.0000 0.0000
Ca 0.0000 0.0000 0.5000

## Properties
* DOS(E_F): 4.38 states/eV per cell
* size of the total moment: 0.00 μB/cell

=====

It comes down to entry one, which is 81 meV per atom more stable than the next structure.

=====

Entry one
This record from the Alexandria database describes Ca2MgS after structural relaxation. The functional is PBE.

Unit cell a=5.3490 b=5.3490 c=5.3490 alpha=60.00 beta=60.00 gamma=60.00
Atoms (fractional coordinates):
S 0.5000 0.5000 0.5000
Ca 0.2500 0.2500 0.2500
Mg 0.0000 0.0000 0.0000
Ca 0.7500 0.7500 0.7500

## Properties
* DOS(E_F): 6.59 states/eV per cell
* size of the total moment: 0.00 μB/cell

=====

Entry two
This record from the Alexandria database describes Ca2MgS after structural relaxation. The functional is PBE.

Unit cell a=8.1749 b=8.1749 c=6.9072 alpha=53.72 beta=53.72 gamma=90.00
Atoms (fractional coordinates):
Ca 0.0606 0.6250 0.2500
S 0.0000 0.0000 0.0000
Mg 0.2500 0.7500 0.5000
Ca 0.6894 0.1250 0.2500
Mg 0.5000 0.5000 0.0000
Ca 0.3750 0.3106 0.7500
S 0.7500 0.2500 0.5000
Ca 0.8750 0.9394 0.7500

## Properties
* DOS(E_F): 0.98 states/eV per cell
* size of the total moment: 0.00 μB/cell

=====

It comes down to entry two, which is 306 meV per atom more stable than the next structure.

=====

Entry one
This record from the Alexandria database describes CaMg6Sb after structural relaxation. The functional is PBE.

Unit cell a=6.7313 b=6.7313 c=5.2295 alpha=90.00 beta=90.00 gamma=123.44
Atoms (fractional coordinates):
Sb 0.3348 0.6652 0.5000
Ca 0.8265 0.1735 0.5000
Mg 0.6588 0.3412 0.0000
Mg 0.3305 0.1707 0.5000
Mg 0.6786 0.8239 0.0000
Mg 0.1761 0.3214 0.0000
Mg 0.1654 0.8346 0.0000
Mg 0.8293 0.6695 0.5000

## Properties
* DOS(E_F): 3.35 states/eV per cell
* size of the total moment: 0.00 μB/cell

=====

Entry two
This record from the Alexandria database describes CaMg6Sb after structural relaxation. The functional is PBE.

Unit cell a=6.7273 b=6.7273 c=5.1495 alpha=90.00 beta=90.00 gamma=121.15
Atoms (fractional coordinates):
Sb 0.6558 0.3442 0.5000
Mg 0.1845 0.3297 0.5000
Mg 0.6703 0.8155 0.5000
Ca 0.8179 0.1821 0.0000
Mg 0.8407 0.6911 0.0000
Mg 0.1808 0.8192 0.5000
Mg 0.3411 0.6589 0.0000
Mg 0.3089 0.1593 0.0000

## Properties
* DOS(E_F): 3.75 states/eV per cell
* size of the total moment: 0.00 μB/cell

=====

It comes down to entry one, which is 5 meV per atom more stable than the next structure.